LiAcGaAg: relaxed, GGA-PBE.

Summary:
Space-group type: F-43m, No. 216
Energy relative to the lowest polymorph listed for this composition in kJ/mol of atoms: 7.9

abc: 5.220 5.220 5.220
angles: 60.00 60.00 60.00
Positions (direct):
Ac 0.000 0.000 0.000
Ga 0.750 0.750 0.750
Ag 0.250 0.250 0.250
Li 0.500 0.500 0.500

---

LiAcGaAg: relaxed, GGA-PBE.

Summary:
Space-group type: Cm, No. 8
Energy relative to the lowest polymorph listed for this composition in kJ/mol of atoms: 0.0

abc: 4.608 4.605 5.988
angles: 112.75 90.00 120.03
Positions (direct):
Li 0.113 0.226 0.982
Ac 0.616 0.232 0.489
Ga 0.820 0.641 0.103
Ag 0.417 0.834 0.893

---

Li2AcGaAg4: relaxed, GGA-PBE.

Summary:
Space-group type: R-3m, No. 166

abc: 4.537 4.537 9.747
angles: 76.54 76.54 60.00
Positions (direct):
Li 0.770 0.770 0.690
Li 0.230 0.230 0.310
Ac 0.000 0.000 0.000
Ga 0.500 0.500 0.500
Ag 0.406 0.406 0.782
Ag 0.870 0.870 0.391
Ag 0.130 0.130 0.609
Ag 0.594 0.594 0.218

---

LiAc3Ga2Ag6: relaxed, GGA-PBE.

Summary:
Space-group type: P-3m1, No. 164

abc: 6.518 6.518 8.452
angles: 90.00 90.00 120.00
Positions (direct):
Li 0.000 0.000 0.500
Ac 0.333 0.667 0.681
Ac 0.667 0.333 0.319
Ac 0.000 0.000 0.000
Ga 0.667 0.333 0.937
Ga 0.333 0.667 0.063
Ag 0.635 0.818 0.319
Ag 0.182 0.365 0.319
Ag 0.182 0.818 0.319
Ag 0.818 0.635 0.681
Ag 0.365 0.182 0.681
Ag 0.818 0.182 0.681

---

LiAcGa2Ag: relaxed, GGA-PBE.

Summary:
Space-group type: I-4m2, No. 119

abc: 4.614 4.614 6.183
angles: 111.91 111.91 90.00
Positions (direct):
Li 0.750 0.250 0.500
Ac 0.000 0.000 0.000
Ga 0.619 0.619 0.237
Ga 0.381 0.381 0.763
Ag 0.250 0.750 0.500

---

AcLuGaAg: relaxed, GGA-PBE.

Summary:
Space-group type: F-43m, No. 216

abc: 5.334 5.334 5.334
angles: 60.00 60.00 60.00
Positions (direct):
Ac 0.500 0.500 0.500
Lu 0.000 0.000 0.000
Ga 0.750 0.750 0.750
Ag 0.250 0.250 0.250

---

Number 1: E_form -0.24 eV per atom, ρ 6.795 g/cm3. Number 2: E_form -0.32 eV per atom, ρ 6.943 g/cm3. Number 3: E_form -0.19 eV per atom, ρ 7.364 g/cm3. Number 4: E_form -0.13 eV per atom, ρ 7.875 g/cm3. Number 5: E_form -0.40 eV per atom, ρ 7.147 g/cm3. Number 6: E_form -0.34 eV per atom, ρ 8.969 g/cm3.